Rb2MoI4F2: relaxed, PBE+U.

```
data_Rb2MoI4F2
_cell_length_a 12.937
_cell_length_b 8.360
_cell_length_c 7.921
_cell_angle_alpha 90.00
_cell_angle_beta 126.21
_cell_angle_gamma 90.00
_space_group_name_H-M_alt 'C 1 2/m 1'
_space_group_IT_number 12
loop_
_space_group_symop_operation_xyz
'x,y,z'
'-x,-y,-z'
'-x,y,-z'
'x,-y,z'
'x+1/2,y+1/2,z'
'-x+1/2,-y+1/2,-z'
'-x+1/2,y+1/2,-z'
'x+1/2,-y+1/2,z'
loop_
_atom_site_label
_atom_site_fract_x
_atom_site_fract_y
_atom_site_fract_z
Rb1 0.247 0.000 0.177
Mo1 0.000 0.500 0.000
I1 0.042 0.260 0.285
F1 0.182 0.500 0.108
```

Computed properties:
The density comes out at 3.90 g/cm³. The magnetic moment comes out at 2.004 μB/f.u. For the total energy, the calculation gives -63.61 eV for the cell shown.